Sc2Al2CdPt5: optimized geometry, GGA-PBE.

- Density of states at the Fermi level: 8.198 states/eV per cell
- Final energy: -120.26 eV/cell
- Formation energy: -0.89 eV per atom
- Magnetic moment: 0.00 μB/cell

```
data_Sc2Al2CdPt5
_chemical_formula_sum 'Sc4 Al4 Cd2 Pt10'
_symmetry_space_group_name_H-M 'P 4/m b m'
_symmetry_Int_Tables_number 127
_symmetry_space_group_name_Hall '-P 4 2ab'
_cell_length_a 9.534
_cell_length_b 9.534
_cell_length_c 3.758
_cell_angle_alpha 90.00
_cell_angle_beta 90.00
_cell_angle_gamma 90.00
loop_
_atom_site_label
_atom_site_type_symbol
_atom_site_fract_x
_atom_site_fract_y
_atom_site_fract_z
_atom_site_occupancy
Sc1 Sc 0.175 0.325 0.000 1
Al1 Al 0.123 0.623 0.000 1
Cd1 Cd 0.000 0.000 0.000 1
Pt1 Pt 0.000 0.500 0.500 1
Pt2 Pt 0.072 0.791 0.500 1
```

Sm2Al2CdPt5: optimized geometry, GGA-PBE.

- Density of states at the Fermi level: 10.150 states/eV per cell
- Final energy: -113.71 eV/cell
- Formation energy: -0.88 eV per atom
- Magnetic moment: 0.00 μB/cell

```
data_Sm2Al2CdPt5
_chemical_formula_sum 'Sm4 Al4 Cd2 Pt10'
_symmetry_space_group_name_H-M 'P 4/m b m'
_symmetry_Int_Tables_number 127
_symmetry_space_group_name_Hall '-P 4 2ab'
_cell_length_a 9.978
_cell_length_b 9.978
_cell_length_c 3.766
_cell_angle_alpha 90.00
_cell_angle_beta 90.00
_cell_angle_gamma 90.00
loop_
_atom_site_label
_atom_site_type_symbol
_atom_site_fract_x
_atom_site_fract_y
_atom_site_fract_z
_atom_site_occupancy
Sm1 Sm 0.179 0.321 0.000 1
Al1 Al 0.119 0.619 0.000 1
Cd1 Cd 0.000 0.000 0.000 1
Pt1 Pt 0.000 0.500 0.500 1
Pt2 Pt 0.065 0.785 0.500 1
```

Sm2Al3CdPt4: optimized geometry, GGA-PBE.

- Density of states at the Fermi level: 8.254 states/eV per cell
- Final energy: -55.45 eV/cell
- Formation energy: -0.97 eV per atom
- Magnetic moment: 0.00 μB/cell

```
data_Sm2Al3CdPt4
_chemical_formula_sum 'Sm2 Al3 Cd1 Pt4'
_symmetry_space_group_name_H-M 'P -4 m 2'
_symmetry_Int_Tables_number 115
_cell_length_a 4.152
_cell_length_b 4.152
_cell_length_c 11.342
_cell_angle_alpha 90.00
_cell_angle_beta 90.00
_cell_angle_gamma 90.00
loop_
_symmetry_equiv_pos_as_xyz
'x,y,z'
'y,-x,-z'
'-x,-y,z'
'-y,x,-z'
'-x,y,z'
'-y,-x,-z'
'x,-y,z'
'y,x,-z'
loop_
_atom_site_label
_atom_site_type_symbol
_atom_site_fract_x
_atom_site_fract_y
_atom_site_fract_z
_atom_site_occupancy
Sm1 Sm 0.000 0.500 0.247 1
Al1 Al 0.000 0.500 0.874 1
Al2 Al 0.500 0.500 0.500 1
Cd1 Cd 0.000 0.000 0.500 1
Pt1 Pt 0.000 0.000 0.000 1
Pt2 Pt 0.000 0.500 0.657 1
Pt3 Pt 0.500 0.500 0.000 1
```

Al2CdSn2Pt5: optimized geometry, GGA-PBE.

- Density of states at the Fermi level: 8.098 states/eV per cell
- Final energy: -102.86 eV/cell
- Formation energy: -0.48 eV per atom
- Magnetic moment: 0.00 μB/cell

```
data_Al2CdSn2Pt5
_chemical_formula_sum 'Al4 Cd2 Sn4 Pt10'
_symmetry_space_group_name_H-M 'P 4/m b m'
_symmetry_Int_Tables_number 127
_symmetry_space_group_name_Hall '-P 4 2ab'
_cell_length_a 10.061
_cell_length_b 10.061
_cell_length_c 3.548
_cell_angle_alpha 90.00
_cell_angle_beta 90.00
_cell_angle_gamma 90.00
loop_
_atom_site_label
_atom_site_type_symbol
_atom_site_fract_x
_atom_site_fract_y
_atom_site_fract_z
_atom_site_occupancy
Al1 Al 0.137 0.363 0.000 1
Cd1 Cd 0.000 0.000 0.000 1
Sn1 Sn 0.171 0.671 0.000 1
Pt1 Pt 0.000 0.500 0.500 1
Pt2 Pt 0.013 0.218 0.500 1
```

Sr2Al3CdPt4: optimized geometry, GGA-PBE.

- Density of states at the Fermi level: 3.167 states/eV per cell
- Final energy: -48.57 eV/cell
- Formation energy: -0.89 eV per atom
- Magnetic moment: 0.00 μB/cell

```
data_Sr2Al3CdPt4
_chemical_formula_sum 'Sr2 Al3 Cd1 Pt4'
_symmetry_space_group_name_H-M 'P -4 m 2'
_symmetry_Int_Tables_number 115
_cell_length_a 4.464
_cell_length_b 4.464
_cell_length_c 10.457
_cell_angle_alpha 90.00
_cell_angle_beta 90.00
_cell_angle_gamma 90.00
loop_
_symmetry_equiv_pos_as_xyz
'x,y,z'
'y,-x,-z'
'-x,-y,z'
'-y,x,-z'
'-x,y,z'
'-y,-x,-z'
'x,-y,z'
'y,x,-z'
loop_
_atom_site_label
_atom_site_type_symbol
_atom_site_fract_x
_atom_site_fract_y
_atom_site_fract_z
_atom_site_occupancy
Sr1 Sr 0.000 0.500 0.242 1
Al1 Al 0.000 0.500 0.884 1
Al2 Al 0.500 0.500 0.500 1
Cd1 Cd 0.000 0.000 0.500 1
Pt1 Pt 0.000 0.000 0.000 1
Pt2 Pt 0.000 0.500 0.646 1
Pt3 Pt 0.500 0.500 0.000 1
```

Sr2Al2CdPt5: optimized geometry, GGA-PBE.

- Density of states at the Fermi level: 6.050 states/eV per cell
- Final energy: -98.85 eV/cell
- Formation energy: -0.75 eV per atom
- Magnetic moment: 0.00 μB/cell

```
data_Sr2Al2CdPt5
_chemical_formula_sum 'Sr4 Al4 Cd2 Pt10'
_symmetry_space_group_name_H-M 'P 4/m b m'
_symmetry_Int_Tables_number 127
_symmetry_space_group_name_Hall '-P 4 2ab'
_cell_length_a 10.347
_cell_length_b 10.347
_cell_length_c 3.631
_cell_angle_alpha 90.00
_cell_angle_beta 90.00
_cell_angle_gamma 90.00
loop_
_atom_site_label
_atom_site_type_symbol
_atom_site_fract_x
_atom_site_fract_y
_atom_site_fract_z
_atom_site_occupancy
Sr1 Sr 0.178 0.322 0.000 1
Al1 Al 0.121 0.621 0.000 1
Cd1 Cd 0.000 0.000 0.000 1
Pt1 Pt 0.000 0.500 0.500 1
Pt2 Pt 0.063 0.785 0.500 1
```

Sr2Al12CdPt3: optimized geometry, GGA-PBE.

- Density of states at the Fermi level: 23.820 states/eV per cell
- Final energy: -209.02 eV/cell
- Formation energy: -0.13 eV per atom
- Magnetic moment: 0.00 μB/cell

```
data_Sr2Al12CdPt3
_chemical_formula_sum 'Sr6 Al36 Cd3 Pt9'
_symmetry_space_group_name_H-M 'R -3 m'
_symmetry_Int_Tables_number 166
_symmetry_space_group_name_Hall '-R 3 2"'
_cell_length_a 9.2145
_cell_length_b 9.2145
_cell_length_c 18.2194
_cell_angle_alpha 90.00
_cell_angle_beta 90.00
_cell_angle_gamma 120.00
loop_
_atom_site_label
_atom_site_type_symbol
_atom_site_fract_x
_atom_site_fract_y
_atom_site_fract_z
_atom_site_occupancy
Sr1 Sr 0.0000 0.0000 0.1014 1
Al1 Al 0.0026 0.5013 0.1353 1
Al2 Al 0.0791 0.5395 0.2947 1
Cd1 Cd 0.0000 0.0000 0.5000 1
Pt1 Pt 0.0000 0.5000 0.0000 1
```

Sr2Al4CdPt3: optimized geometry, GGA-PBE.

- Density of states at the Fermi level: 5.112 states/eV per cell
- Final energy: -45.32 eV/cell
- Formation energy: -0.80 eV per atom
- Magnetic moment: 0.00 μB/cell

```
data_Sr2Al4CdPt3
_chemical_formula_sum 'Sr2 Al4 Cd1 Pt3'
_symmetry_space_group_name_H-M 'P -4 m 2'
_symmetry_Int_Tables_number 115
_cell_length_a 4.410
_cell_length_b 4.410
_cell_length_c 10.738
_cell_angle_alpha 90.00
_cell_angle_beta 90.00
_cell_angle_gamma 90.00
loop_
_symmetry_equiv_pos_as_xyz
'x,y,z'
'y,-x,-z'
'-x,-y,z'
'-y,x,-z'
'-x,y,z'
'-y,-x,-z'
'x,-y,z'
'y,x,-z'
loop_
_atom_site_label
_atom_site_type_symbol
_atom_site_fract_x
_atom_site_fract_y
_atom_site_fract_z
_atom_site_occupancy
Sr1 Sr 0.000 0.500 0.246 1
Al1 Al 0.000 0.000 0.000 1
Al2 Al 0.000 0.500 0.639 1
Al3 Al 0.500 0.500 0.000 1
Cd1 Cd 0.000 0.000 0.500 1
Pt1 Pt 0.000 0.500 0.877 1
Pt2 Pt 0.500 0.500 0.500 1
```

Tb2Al4CdPt3: optimized geometry, GGA-PBE.

- Density of states at the Fermi level: 5.648 states/eV per cell
- Final energy: -52.48 eV/cell
- Formation energy: -0.92 eV per atom
- Magnetic moment: 0.00 μB/cell

```
data_Tb2Al4CdPt3
_chemical_formula_sum 'Tb2 Al4 Cd1 Pt3'
_symmetry_space_group_name_H-M 'P -4 m 2'
_symmetry_Int_Tables_number 115
_cell_length_a 4.224
_cell_length_b 4.224
_cell_length_c 10.829
_cell_angle_alpha 90.00
_cell_angle_beta 90.00
_cell_angle_gamma 90.00
loop_
_symmetry_equiv_pos_as_xyz
'x,y,z'
'y,-x,-z'
'-x,-y,z'
'-y,x,-z'
'-x,y,z'
'-y,-x,-z'
'x,-y,z'
'y,x,-z'
loop_
_atom_site_label
_atom_site_type_symbol
_atom_site_fract_x
_atom_site_fract_y
_atom_site_fract_z
_atom_site_occupancy
Tb1 Tb 0.000 0.500 0.237 1
Al1 Al 0.000 0.000 0.000 1
Al2 Al 0.000 0.500 0.644 1
Al3 Al 0.500 0.500 0.000 1
Cd1 Cd 0.000 0.000 0.500 1
Pt1 Pt 0.000 0.500 0.869 1
Pt2 Pt 0.500 0.500 0.500 1
```

Tb2Al2CdPt5: optimized geometry, GGA-PBE.

- Density of states at the Fermi level: 9.160 states/eV per cell
- Final energy: -114.09 eV/cell
- Formation energy: -0.92 eV per atom
- Magnetic moment: 0.00 μB/cell

```
data_Tb2Al2CdPt5
_chemical_formula_sum 'Tb4 Al4 Cd2 Pt10'
_symmetry_space_group_name_H-M 'P 4/m b m'
_symmetry_Int_Tables_number 127
_symmetry_space_group_name_Hall '-P 4 2ab'
_cell_length_a 9.872
_cell_length_b 9.872
_cell_length_c 3.758
_cell_angle_alpha 90.00
_cell_angle_beta 90.00
_cell_angle_gamma 90.00
loop_
_atom_site_label
_atom_site_type_symbol
_atom_site_fract_x
_atom_site_fract_y
_atom_site_fract_z
_atom_site_occupancy
Tb1 Tb 0.178 0.322 0.000 1
Al1 Al 0.120 0.620 0.000 1
Cd1 Cd 0.000 0.000 0.000 1
Pt1 Pt 0.000 0.500 0.500 1
Pt2 Pt 0.067 0.786 0.500 1
```

Tb2Al3CdPt4: optimized geometry, GGA-PBE.

- Density of states at the Fermi level: 5.712 states/eV per cell
- Final energy: -55.35 eV/cell
- Formation energy: -0.98 eV per atom
- Magnetic moment: 0.00 μB/cell

```
data_Tb2Al3CdPt4
_chemical_formula_sum 'Tb2 Al3 Cd1 Pt4'
_symmetry_space_group_name_H-M 'P -4 m 2'
_symmetry_Int_Tables_number 115
_cell_length_a 4.089
_cell_length_b 4.089
_cell_length_c 11.494
_cell_angle_alpha 90.00
_cell_angle_beta 90.00
_cell_angle_gamma 90.00
loop_
_symmetry_equiv_pos_as_xyz
'x,y,z'
'y,-x,-z'
'-x,-y,z'
'-y,x,-z'
'-x,y,z'
'-y,-x,-z'
'x,-y,z'
'y,x,-z'
loop_
_atom_site_label
_atom_site_type_symbol
_atom_site_fract_x
_atom_site_fract_y
_atom_site_fract_z
_atom_site_occupancy
Tb1 Tb 0.000 0.500 0.249 1
Al1 Al 0.000 0.500 0.874 1
Al2 Al 0.500 0.500 0.500 1
Cd1 Cd 0.000 0.000 0.500 1
Pt1 Pt 0.000 0.000 0.000 1
Pt2 Pt 0.000 0.500 0.661 1
Pt3 Pt 0.500 0.500 0.000 1
```

Which formula does entry 7 have? Sr2Al12CdPt3

What is the formula in the third record? Sm2Al3CdPt4